First-principles (PBE) data for a geometry-optimized La2SeBrF structure, as listed in Alexandria via LeMat-Bulk.

The value obtained for the total energy is -25.3 eV for the cell shown. Its crystal system is tetragonal. The formation energy from raw total energies comes out at -1.691 eV per atom. The density of states at the Fermi level is 0.6803 states/eV/atom. The calculated volume is 128 Å³/cell.

The structure belongs to space group P4/mmm (No. 123); the cell edges are 5.054, 5.054 and 5.006 Å and the angles 90.00°, 90.00° and 90.00°. Symmetry generates all atoms from La at (0.000, 0.500, 0.000), Se at (0.000, 0.000, 0.500), Br at (0.500, 0.500, 0.500) and F at (0.500, 0.500, 0.000).



First-principles (PBE) data for a geometry-optimized LaSe2BrF structure, as listed in Alexandria via LeMat-Bulk.

The value obtained for the total energy is -18.6 eV for the cell shown. Its crystal system is tetragonal. The formation energy from raw total energies comes out at -0.635 eV per atom. The density of states at the Fermi level is 1.4602 states/eV/atom. The calculated volume is 205 Å³/cell.

The structure belongs to space group P4/mmm (No. 123); the cell edges are 5.964, 5.964 and 5.765 Å and the angles 90.00°, 90.00° and 90.00°. Symmetry generates all atoms from La at (0.000, 0.000, 0.000), Se at (0.000, 0.500, 0.000), Br at (0.000, 0.000, 0.500) and F at (0.500, 0.500, 0.500).



First-principles (PBE) data for a geometry-optimized La6Si2Br3F structure, as listed in Alexandria via LeMat-Bulk.

The value obtained for the total energy is -127.6 eV for the cell shown. Its crystal system is monoclinic. The formation energy from raw total energies comes out at -1.375 eV per atom. The density of states at the Fermi level is 0.6439 states/eV/atom. The calculated volume is 678 Å³/cell.

The structure belongs to space group C2/m (No. 12); the cell edges are 7.278, 12.602 and 7.789 Å and the angles 90.00°, 108.39° and 90.00°. Symmetry generates all atoms from La at (0.233, 0.163, 0.211), La at (0.245, 0.500, 0.219), Si at (0.000, 0.335, 0.000), Br at (0.000, 0.178, 0.500), Br at (0.000, 0.500, 0.500) and F at (0.000, 0.000, 0.000).



First-principles (PBE) data for a geometry-optimized La4TcBr2F structure, as listed in Alexandria via LeMat-Bulk.

The value obtained for the total energy is -45.5 eV for the cell shown. Its crystal system is monoclinic. The formation energy from raw total energies comes out at -1.271 eV per atom. The density of states at the Fermi level is 0.7755 states/eV/atom. The calculated volume is 222 Å³/cell.

The structure belongs to space group P2/m (No. 10); the cell edges are 6.784, 4.129 and 8.228 Å and the angles 90.00°, 105.64° and 90.00°. Symmetry generates all atoms from La at (0.241, 0.000, 0.199), La at (0.252, 0.500, 0.801), Tc at (0.500, 0.000, 0.000), Br at (0.000, 0.000, 0.500), Br at (0.500, 0.500, 0.500) and F at (0.000, 0.500, 0.000).



First-principles (PBE) data for a geometry-optimized La8Tc3Br4F structure, as listed in Alexandria via LeMat-Bulk.

The value obtained for the total energy is -283.1 eV for the cell shown. Its crystal system is trigonal. The formation energy from raw total energies comes out at -0.956 eV per atom. The density of states at the Fermi level is 0.7311 states/eV/atom. The calculated volume is 1415 Å³/cell.

The structure belongs to space group R-3m (No. 166, hexagonal axes); the cell edges are 8.3005, 8.3005 and 23.7205 Å and the angles 90.00°, 90.00° and 120.00°. Symmetry generates all atoms from La at (0.0000, 0.0000, 0.2366), La at (0.0097, 0.5049, 0.7697), Tc at (0.0000, 0.5000, 0.5000), Br at (0.0000, 0.0000, 0.0000), Br at (0.0000, 0.5000, 0.0000) and F at (0.0000, 0.0000, 0.5000).



First-principles (PBE) data for a geometry-optimized LaZn2BrF structure, as listed in Alexandria via LeMat-Bulk.

The value obtained for the total energy is -12.1 eV for the cell shown. Its crystal system is tetragonal. The formation energy from raw total energies comes out at -0.208 eV per atom. The density of states at the Fermi level is 1.2581 states/eV/atom. The calculated volume is 129 Å³/cell.

The structure belongs to space group P4/mmm (No. 123); the cell edges are 4.912, 4.912 and 5.365 Å and the angles 90.00°, 90.00° and 90.00°. Symmetry generates all atoms from La at (0.000, 0.000, 0.000), Zn at (0.000, 0.500, 0.500), Br at (0.500, 0.500, 0.500) and F at (0.500, 0.500, 0.000).



First-principles (PBE) data for a geometry-optimized LiBr2F structure, as listed in Alexandria via LeMat-Bulk.

The value obtained for the total energy is -24.7 eV for the cell shown. Its crystal system is orthorhombic. The formation energy from raw total energies comes out at -1.306 eV per atom. The density of states at the Fermi level is 0.0371 states/eV/atom. The calculated volume is 180 Å³/cell.

The structure belongs to space group Imm2 (No. 44); the cell edges are 2.933, 22.504 and 2.720 Å and the angles 90.00°, 90.00° and 90.00°. Symmetry generates all atoms from Li at (0.000, 0.000, 0.000), Br at (0.000, 0.157, 0.993) and F at (0.000, 0.500, 0.999).



First-principles (PBE) data for a geometry-optimized LiBr2F structure, as listed in Alexandria via LeMat-Bulk.

The value obtained for the total energy is -31.4 eV for the cell shown. Its crystal system is trigonal. The formation energy from raw total energies comes out at -0.833 eV per atom. The density of states at the Fermi level is 0.0000 states/eV/atom. The calculated volume is 309 Å³/cell.

The structure belongs to space group R-3m (No. 166, hexagonal axes); the cell edges are 4.1623, 4.1623 and 20.5756 Å and the angles 90.00°, 90.00° and 120.00°. Symmetry generates all atoms from Li at (0.0000, 0.0000, 0.0000), Br at (0.0000, 0.0000, 0.3960) and F at (0.0000, 0.0000, 0.5000).



First-principles (PBE) data for a geometry-optimized LiBr2F structure, as listed in Alexandria via LeMat-Bulk.

The value obtained for the total energy is -41.4 eV for the cell shown. Its crystal system is tetragonal. The formation energy from raw total energies comes out at -0.807 eV per atom. The density of states at the Fermi level is 0.2267 states/eV/atom. The calculated volume is 389 Å³/cell.

The structure belongs to space group I-42d (No. 122); the cell edges are 3.853, 3.853 and 26.167 Å and the angles 90.00°, 90.00° and 90.00°. Symmetry generates all atoms from Li at (0.000, 0.000, 0.000), Br at (0.250, 0.250, 0.125) and F at (0.000, 0.000, 0.500).



First-principles (PBE) data for a geometry-optimized Li5BrF4 structure, as listed in Alexandria via LeMat-Bulk.

The value obtained for the total energy is -131.6 eV for the cell shown. Its crystal system is trigonal. The formation energy from raw total energies comes out at -2.513 eV per atom. The density of states at the Fermi level is 0.0000 states/eV/atom. The calculated volume is 329 Å³/cell.

The structure belongs to space group R-3m (No. 166, hexagonal axes); the cell edges are 3.1767, 3.1767 and 37.5955 Å and the angles 90.00°, 90.00° and 120.00°. Symmetry generates all atoms from Li at (0.0000, 0.0000, 0.0000), Li at (0.0000, 0.0000, 0.2134), Li at (0.0000, 0.0000, 0.3931), Br at (0.0000, 0.0000, 0.5000), F at (0.0000, 0.0000, 0.0897) and F at (0.0000, 0.0000, 0.3034).



First-principles (PBE) data for a geometry-optimized LiBrF6 structure, as listed in Alexandria via LeMat-Bulk.

The value obtained for the total energy is -52.8 eV for the cell shown. Its crystal system is monoclinic. The formation energy from raw total energies comes out at -1.448 eV per atom. The density of states at the Fermi level is 0.0000 states/eV/atom. The calculated volume is 224 Å³/cell.

The structure belongs to space group C2/m (No. 12); the cell edges are 5.034, 9.149 and 5.012 Å and the angles 90.00°, 103.77° and 90.00°. Symmetry generates all atoms from Li at (0.000, 0.000, 0.000), Br at (0.000, 0.500, 0.500), F at (0.221, 0.359, 0.731) and F at (0.246, 0.500, 0.267).



First-principles (PBE) data for a geometry-optimized LiBr2F structure, as listed in Alexandria via LeMat-Bulk.

The value obtained for the total energy is -36.4 eV for the cell shown. Its crystal system is cubic. The formation energy from raw total energies comes out at -0.495 eV per atom. The density of states at the Fermi level is 0.8303 states/eV/atom. The calculated volume is 312 Å³/cell.

The structure belongs to space group Fm-3m (No. 225); the cell edges are 6.781, 6.781 and 6.781 Å and the angles 90.00°, 90.00° and 90.00°. Symmetry generates all atoms from Li at (0.000, 0.000, 0.000), Br at (0.250, 0.250, 0.250) and F at (0.000, 0.000, 0.500).



First-principles (PBE) data for a geometry-optimized LiBrF3 structure, as listed in Alexandria via LeMat-Bulk.

The value obtained for the total energy is -14.2 eV for the cell shown. Its crystal system is cubic. The formation energy from raw total energies comes out at -1.008 eV per atom. The density of states at the Fermi level is 0.2763 states/eV/atom. The calculated volume is 93 Å³/cell.

The structure belongs to space group Pm-3m (No. 221); the cell edges are 4.532, 4.532 and 4.532 Å and the angles 90.00°, 90.00° and 90.00°. Symmetry generates all atoms from Li at (0.000, 0.000, 0.000), Br at (0.500, 0.500, 0.500) and F at (0.000, 0.500, 0.500).



First-principles (PBE) data for a geometry-optimized LiBr2F structure, as listed in Alexandria via LeMat-Bulk.

The value obtained for the total energy is -12.1 eV for the cell shown. Its crystal system is triclinic. The formation energy from raw total energies comes out at -1.252 eV per atom. The density of states at the Fermi level is 0.0000 states/eV/atom. The calculated volume is 99 Å³/cell.

The structure belongs to space group P1 (No. 1); the cell edges are 3.709, 4.599 and 6.044 Å and the angles 90.79°, 96.22° and 105.49°. Symmetry generates all atoms from Li at (0.000, 0.000, 0.000), Br at (0.122, 0.496, 0.724), Br at (0.780, 0.223, 0.397) and F at (0.493, 0.955, 0.049).



First-principles (PBE) data for a geometry-optimized Li2BrF8 structure, as listed in Alexandria via LeMat-Bulk.

The value obtained for the total energy is -73.8 eV for the cell shown. Its crystal system is monoclinic. The formation energy from raw total energies comes out at -1.495 eV per atom. The density of states at the Fermi level is 0.9438 states/eV/atom. The calculated volume is 282 Å³/cell.

The structure belongs to space group C2/m (No. 12); the cell edges are 9.191, 6.992 and 4.393 Å and the angles 90.00°, 91.86° and 90.00°. Symmetry generates all atoms from Li at (0.109, 0.000, 0.259), Br at (0.000, 0.500, 0.500), F at (0.088, 0.307, 0.270), F at (0.102, 0.000, 0.760) and F at (0.168, 0.500, 0.759).



First-principles (PBE) data for a geometry-optimized LiBrF3 structure, as listed in Alexandria via LeMat-Bulk.

The value obtained for the total energy is -14.7 eV for the cell shown. Its crystal system is cubic. The formation energy from raw total energies comes out at -1.097 eV per atom. The density of states at the Fermi level is 1.1334 states/eV/atom. The calculated volume is 58 Å³/cell.

The structure belongs to space group Pm-3m (No. 221); the cell edges are 3.875, 3.875 and 3.875 Å and the angles 90.00°, 90.00° and 90.00°. Symmetry generates all atoms from Li at (0.000, 0.000, 0.000), Br at (0.500, 0.500, 0.500) and F at (0.000, 0.000, 0.500).



First-principles (PBE) data for a geometry-optimized Li4Br2F structure, as listed in Alexandria via LeMat-Bulk.

The value obtained for the total energy is -47.2 eV for the cell shown. Its crystal system is tetragonal. The formation energy from raw total energies comes out at -1.534 eV per atom. The density of states at the Fermi level is 0.1218 states/eV/atom. The calculated volume is 277 Å³/cell.

The structure belongs to space group I4/mmm (No. 139); the cell edges are 3.815, 3.815 and 19.028 Å and the angles 90.00°, 90.00° and 90.00°. Symmetry generates all atoms from Li at (0.000, 0.000, 0.175), Li at (0.000, 0.500, 0.000), Br at (0.000, 0.000, 0.395) and F at (0.000, 0.000, 0.000).



First-principles (PBE) data for a geometry-optimized LiBr2F structure, as listed in Alexandria via LeMat-Bulk.

The value obtained for the total energy is -12.0 eV for the cell shown. Its crystal system is triclinic. The formation energy from raw total energies comes out at -1.227 eV per atom. The density of states at the Fermi level is 0.1121 states/eV/atom. The calculated volume is 116 Å³/cell.

The structure belongs to space group P1 (No. 1); the cell edges are 3.505, 5.061 and 6.998 Å and the angles 69.62°, 89.62° and 89.93°. Symmetry generates all atoms from Li at (0.000, 0.000, 0.000), Br at (0.994, 0.734, 0.536), Br at (0.995, 0.269, 0.464) and F at (0.500, 0.000, 0.000).



First-principles (PBE) data for a geometry-optimized LiBrF structure, as listed in Alexandria via LeMat-Bulk.

The value obtained for the total energy is -10.6 eV for the cell shown. Its crystal system is hexagonal. The formation energy from raw total energies comes out at -1.723 eV per atom. The density of states at the Fermi level is 0.1625 states/eV/atom. The calculated volume is 60 Å³/cell.

The structure belongs to space group P-6m2 (No. 187); the cell edges are 3.0984, 3.0984 and 7.1963 Å and the angles 90.00°, 90.00° and 120.00°. Symmetry generates all atoms from Li at (0.0000, 0.0000, 0.0000), Br at (0.6667, 0.3333, 0.5000) and F at (0.3333, 0.6667, 0.0000).



First-principles (PBE) data for a geometry-optimized LiBr2F structure, as listed in Alexandria via LeMat-Bulk.

The value obtained for the total energy is -22.9 eV for the cell shown. Its crystal system is orthorhombic. The formation energy from raw total energies comes out at -1.076 eV per atom. The density of states at the Fermi level is 0.3212 states/eV/atom. The calculated volume is 202 Å³/cell.

The structure belongs to space group Imm2 (No. 44); the cell edges are 2.795, 8.825 and 8.190 Å and the angles 90.00°, 90.00° and 90.00°. Symmetry generates all atoms from Li at (0.000, 0.000, 0.000), Br at (0.000, 0.179, 0.278) and F at (0.000, 0.500, 0.378).